Ca2Ga2CuRh5 | PBE | relaxed

Properties
**ΔH_f (0 K)**: -4.143 eV per formula unit
**Total DFT energy (no corrections)**: -110.11 eV for the cell shown
**Total magnetization**: 0.000 μB/cell
**ρ**: 7.91 Mg/m³

POSCAR file:
```
Ca2Ga2CuRh5
1.0
3.279 0.000 0.000
0.000 10.104 0.000
0.000 0.000 10.104
Rh Cu Ca Ga
10 2 4 4
Direct
0.500 0.696 0.438
0.500 0.304 0.562
0.500 0.000 0.500
0.500 0.562 0.696
0.500 0.500 0.000
0.500 0.062 0.804
0.500 0.804 0.938
0.500 0.438 0.304
0.500 0.196 0.062
0.500 0.938 0.196
0.000 0.000 0.000
0.000 0.500 0.500
0.000 0.828 0.672
0.000 0.328 0.828
0.000 0.172 0.328
0.000 0.672 0.172
0.000 0.369 0.131
0.000 0.131 0.631
0.000 0.631 0.869
0.000 0.869 0.369
```

---

DyCd3Ni | PBE | relaxed

Properties
**ΔH_f (0 K)**: -1.203 eV per formula unit
**Total DFT energy (no corrections)**: -28.66 eV for the cell shown
**Total magnetization**: 0.000 μB/cell
**ρ**: 8.84 Mg/m³

POSCAR file:
```
DyCd3Ni
1.0
6.816 0.000 -0.258
0.000 5.733 0.000
0.500 0.000 5.349
Dy Cd Ni
2 6 2
Direct
0.115 0.750 0.644
0.885 0.250 0.356
0.610 0.750 0.406
0.390 0.250 0.594
0.705 0.998 0.876
0.295 0.002 0.124
0.295 0.498 0.124
0.705 0.502 0.876
0.039 0.250 0.839
0.961 0.750 0.161
```

---

TiZn3Au | PBE | relaxed

Properties
**ΔH_f (0 K)**: -0.561 eV per formula unit
**Total DFT energy (no corrections)**: -31.11 eV for the cell shown
**Total magnetization**: 0.000 μB/cell
**ρ**: 9.34 Mg/m³

POSCAR file:
```
TiZn3Au
1.0
4.629 -0.366 -0.715
-0.006 4.586 -2.379
-1.217 0.830 7.194
Zn Au Ti
6 2 2
Direct
0.902 0.411 0.303
0.902 0.892 0.303
0.098 0.589 0.697
0.000 0.000 0.000
0.500 0.000 0.000
0.098 0.108 0.697
0.329 0.579 0.158
0.671 0.421 0.842
0.534 0.785 0.570
0.466 0.215 0.430
```

---

Fe3NiIr2 | PBE | relaxed

Properties
**ΔH_f (0 K)**: -0.242 eV per formula unit
**Total DFT energy (no corrections)**: -98.27 eV for the cell shown
**Total magnetization**: 16.132 μB/cell
**ρ**: 13.45 Mg/m³

POSCAR file:
```
Fe3NiIr2
1.0
-0.933 3.480 -0.656
-3.079 -0.441 2.040
5.531 3.187 9.038
Ir Fe Ni
4 6 2
Direct
0.000 0.500 0.163
0.000 0.000 0.337
0.000 0.000 0.663
0.000 0.500 0.837
0.500 0.500 0.663
0.500 0.000 0.163
0.500 0.500 0.000
0.500 0.500 0.337
0.500 0.000 0.837
0.500 0.000 0.500
0.000 0.500 0.500
0.000 0.000 0.000
```

---

SmY6Cd2 | PBE | relaxed

Properties
**ΔH_f (0 K)**: -1.247 eV per formula unit
**Total DFT energy (no corrections)**: -46.58 eV for the cell shown
**Total magnetization**: 0.000 μB/cell
**ρ**: 5.56 Mg/m³

POSCAR file:
```
SmY6Cd2
1.0
-0.786 1.376 -3.397
-6.017 2.763 0.444
2.057 11.457 2.096
Cd Y Sm
2 6 1
Direct
0.648 0.916 0.789
0.352 0.084 0.211
0.315 0.494 0.876
0.688 0.209 0.415
0.685 0.506 0.124
0.312 0.791 0.585
0.984 0.693 0.340
0.016 0.307 0.660
0.000 0.000 0.000
```

---

KBaRe2 | PBE | relaxed

Properties
**ΔH_f (0 K)**: 7.127 eV per formula unit
**Total DFT energy (no corrections)**: -20.79 eV for the cell shown
**Total magnetization**: 0.005 μB/cell
**ρ**: 9.98 Mg/m³

POSCAR file:
```
KBaRe2
1.0
5.055 0.000 0.000
2.528 4.378 0.000
2.528 1.459 4.127
Ba Re K
1 2 1
Direct
0.500 0.500 0.500
0.250 0.250 0.250
0.000 0.000 0.000
0.750 0.750 0.750
```

---

SrLiAgPb2 | PBE | relaxed

Properties
**ΔH_f (0 K)**: -1.455 eV per formula unit
**Total DFT energy (no corrections)**: -15.32 eV for the cell shown
**Total magnetization**: 0.000 μB/cell
**ρ**: 7.36 Mg/m³

POSCAR file:
```
SrLiAgPb2
1.0
4.713 0.000 0.000
0.000 4.713 0.000
-2.356 -2.356 6.270
Li Ag Sr Pb
1 1 1 2
Direct
0.750 0.250 0.500
0.250 0.750 0.500
0.000 0.000 0.000
0.380 0.380 0.760
0.620 0.620 0.240
```

---

DyHgRu | PBE | relaxed

Properties
**ΔH_f (0 K)**: -0.401 eV per formula unit
**Total DFT energy (no corrections)**: -58.32 eV for the cell shown
**Total magnetization**: 0.000 μB/cell
**ρ**: 11.04 Mg/m³

POSCAR file:
```
DyHgRu
1.0
5.113 -0.382 -0.307
1.225 7.566 0.649
1.220 2.183 7.274
Dy Ru Hg
4 4 4
Direct
0.915 0.010 0.760
0.085 0.990 0.240
0.085 0.490 0.740
0.915 0.510 0.260
0.597 0.898 0.148
0.597 0.398 0.648
0.403 0.102 0.852
0.403 0.602 0.352
0.369 0.701 0.951
0.631 0.799 0.549
0.631 0.299 0.049
0.369 0.201 0.451
```